Record 1
The following is a DFT calculation (GGA-PBE) of an optimized crystal structure of CeLu2Mg.

## Properties
uncorrected energy = -3.975 eV/atom
magnetic moment = 2.02 μB/f.u.
E above lowest polymorph = 0.1497 eV/atom
DOS(E_F) = 32.34 states/eV per cell
theoretical density = 7.57 g/cm3

a = 7.671 Å, b = 7.671 Å, c = 7.671 Å
α = 90.00°, β = 90.00°, γ = 90.00°
Space group Fm-3m (No. 225)
Inequivalent atoms, fractional coordinates:
Ce: 0.000 0.000 0.000 (multiplicity 4)
Lu: 0.250 0.250 0.250 (multiplicity 8)
Mg: 0.000 0.000 0.500 (multiplicity 4)


Record 2
The following is a DFT calculation (GGA-PBE) of an optimized crystal structure of CeLuMgMn.

## Properties
uncorrected energy = -5.180 eV/atom
magnetic moment = 2.02 μB/f.u.
DOS(E_F) = 21.18 states/eV per cell
theoretical density = 6.95 g/cm3

a = 7.224 Å, b = 7.224 Å, c = 7.224 Å
α = 90.00°, β = 90.00°, γ = 90.00°
Space group F-43m (No. 216)
Inequivalent atoms, fractional coordinates:
Ce: 0.000 0.000 0.000 (multiplicity 4)
Lu: 0.000 0.000 0.500 (multiplicity 4)
Mg: 0.250 0.250 0.750 (multiplicity 4)
Mn: 0.250 0.250 0.250 (multiplicity 4)


Record 3
The following is a DFT calculation (GGA-PBE) of an optimized crystal structure of CeNdLuMg.

## Properties
uncorrected energy = -4.128 eV/atom
magnetic moment = 1.24 μB/f.u.
DOS(E_F) = 28.69 states/eV per cell
theoretical density = 6.72 g/cm3

a = 7.820 Å, b = 7.820 Å, c = 7.820 Å
α = 90.00°, β = 90.00°, γ = 90.00°
Space group F-43m (No. 216)
Inequivalent atoms, fractional coordinates:
Ce: 0.000 0.000 0.000 (multiplicity 4)
Nd: 0.000 0.000 0.500 (multiplicity 4)
Lu: 0.250 0.250 0.750 (multiplicity 4)
Mg: 0.250 0.250 0.250 (multiplicity 4)


Record 4
The following is a DFT calculation (GGA-PBE) of an optimized crystal structure of CeLuMgPa.

## Properties
uncorrected energy = -5.076 eV/atom
magnetic moment = 1.14 μB/f.u.
DOS(E_F) = 40.95 states/eV per cell
theoretical density = 8.96 g/cm3

a = 7.506 Å, b = 7.506 Å, c = 7.506 Å
α = 90.00°, β = 90.00°, γ = 90.00°
Space group F-43m (No. 216)
Inequivalent atoms, fractional coordinates:
Ce: 0.000 0.000 0.000 (multiplicity 4)
Lu: 0.000 0.000 0.500 (multiplicity 4)
Mg: 0.250 0.250 0.250 (multiplicity 4)
Pa: 0.250 0.250 0.750 (multiplicity 4)


Record 5
The following is a DFT calculation (GGA-PBE) of an optimized crystal structure of CeLuMgPd.

## Properties
uncorrected energy = -4.604 eV/atom
magnetic moment = 0.68 μB/f.u.
DOS(E_F) = 31.41 states/eV per cell
theoretical density = 7.75 g/cm3

a = 7.256 Å, b = 7.256 Å, c = 7.256 Å
α = 90.00°, β = 90.00°, γ = 90.00°
Space group F-43m (No. 216)
Inequivalent atoms, fractional coordinates:
Ce: 0.000 0.000 0.000 (multiplicity 4)
Lu: 0.000 0.000 0.500 (multiplicity 4)
Mg: 0.250 0.250 0.250 (multiplicity 4)
Pd: 0.250 0.250 0.750 (multiplicity 4)


Record 6
The following is a DFT calculation (GGA-PBE) of an optimized crystal structure of CePmLuMg.

## Properties
uncorrected energy = -4.126 eV/atom
magnetic moment = 1.25 μB/f.u.
DOS(E_F) = 31.88 states/eV per cell
theoretical density = 6.79 g/cm3

a = 7.795 Å, b = 7.795 Å, c = 7.795 Å
α = 90.00°, β = 90.00°, γ = 90.00°
Space group F-43m (No. 216)
Inequivalent atoms, fractional coordinates:
Ce: 0.000 0.000 0.000 (multiplicity 4)
Pm: 0.000 0.000 0.500 (multiplicity 4)
Lu: 0.250 0.250 0.750 (multiplicity 4)
Mg: 0.250 0.250 0.250 (multiplicity 4)


Record 7
The following is a DFT calculation (GGA-PBE) of an optimized crystal structure of CeLuMgPt.

## Properties
uncorrected energy = -5.019 eV/atom
magnetic moment = 0.63 μB/f.u.
DOS(E_F) = 28.18 states/eV per cell
theoretical density = 9.51 g/cm3

a = 7.201 Å, b = 7.201 Å, c = 7.201 Å
α = 90.00°, β = 90.00°, γ = 90.00°
Space group F-43m (No. 216)
Inequivalent atoms, fractional coordinates:
Ce: 0.000 0.000 0.000 (multiplicity 4)
Lu: 0.000 0.000 0.500 (multiplicity 4)
Mg: 0.250 0.250 0.250 (multiplicity 4)
Pt: 0.250 0.250 0.750 (multiplicity 4)


Record 8
The following is a DFT calculation (GGA-PBE) of an optimized crystal structure of CeLuMgRh.

## Properties
uncorrected energy = -5.172 eV/atom
magnetic moment = 0.59 μB/f.u.
DOS(E_F) = 25.58 states/eV per cell
theoretical density = 8.10 g/cm3

a = 7.131 Å, b = 7.131 Å, c = 7.131 Å
α = 90.00°, β = 90.00°, γ = 90.00°
Space group F-43m (No. 216)
Inequivalent atoms, fractional coordinates:
Ce: 0.000 0.000 0.000 (multiplicity 4)
Lu: 0.000 0.000 0.500 (multiplicity 4)
Mg: 0.250 0.250 0.250 (multiplicity 4)
Rh: 0.250 0.250 0.750 (multiplicity 4)


Record 9
The following is a DFT calculation (GGA-PBE) of an optimized crystal structure of CeLuMgSc.

## Properties
uncorrected energy = -4.525 eV/atom
magnetic moment = 1.32 μB/f.u.
DOS(E_F) = 26.10 states/eV per cell
theoretical density = 5.93 g/cm3

a = 7.549 Å, b = 7.549 Å, c = 7.549 Å
α = 90.00°, β = 90.00°, γ = 90.00°
Space group F-43m (No. 216)
Inequivalent atoms, fractional coordinates:
Ce: 0.000 0.000 0.000 (multiplicity 4)
Lu: 0.000 0.000 0.500 (multiplicity 4)
Mg: 0.250 0.250 0.750 (multiplicity 4)
Sc: 0.250 0.250 0.250 (multiplicity 4)


Record 10
The following is a DFT calculation (GGA-PBE) of an optimized crystal structure of CeSmLuMg.

## Properties
uncorrected energy = -4.118 eV/atom
magnetic moment = 1.26 μB/f.u.
DOS(E_F) = 30.91 states/eV per cell
theoretical density = 6.91 g/cm3

a = 7.781 Å, b = 7.781 Å, c = 7.781 Å
α = 90.00°, β = 90.00°, γ = 90.00°
Space group F-43m (No. 216)
Inequivalent atoms, fractional coordinates:
Ce: 0.000 0.000 0.000 (multiplicity 4)
Sm: 0.000 0.000 0.500 (multiplicity 4)
Lu: 0.250 0.250 0.750 (multiplicity 4)
Mg: 0.250 0.250 0.250 (multiplicity 4)


Record 11
The following is a DFT calculation (GGA-PBE) of an optimized crystal structure of CeLuMgTc.

## Properties
uncorrected energy = -5.604 eV/atom
magnetic moment = 0.00 μB/f.u.
DOS(E_F) = 24.34 states/eV per cell
theoretical density = 8.16 g/cm3

a = 7.086 Å, b = 7.086 Å, c = 7.086 Å
α = 90.00°, β = 90.00°, γ = 90.00°
Space group F-43m (No. 216)
Inequivalent atoms, fractional coordinates:
Ce: 0.000 0.000 0.000 (multiplicity 4)
Lu: 0.000 0.000 0.500 (multiplicity 4)
Mg: 0.250 0.250 0.750 (multiplicity 4)
Tc: 0.250 0.250 0.250 (multiplicity 4)


Record 12
The following is a DFT calculation (GGA-PBE) of an optimized crystal structure of CeLuMgTi.

## Properties
uncorrected energy = -4.833 eV/atom
magnetic moment = 2.27 μB/f.u.
DOS(E_F) = 24.97 states/eV per cell
theoretical density = 6.47 g/cm3

a = 7.354 Å, b = 7.354 Å, c = 7.354 Å
α = 90.00°, β = 90.00°, γ = 90.00°
Space group F-43m (No. 216)
Inequivalent atoms, fractional coordinates:
Ce: 0.000 0.000 0.000 (multiplicity 4)
Lu: 0.000 0.000 0.500 (multiplicity 4)
Mg: 0.250 0.250 0.750 (multiplicity 4)
Ti: 0.250 0.250 0.250 (multiplicity 4)


- Look up the theoretical density of the fifth one.
  7.75 g/cm3


Please write out number 3 again, unchanged.
The following is a DFT calculation (GGA-PBE) of an optimized crystal structure of CeNdLuMg.

## Properties
uncorrected energy = -4.128 eV/atom
magnetic moment = 1.24 μB/f.u.
DOS(E_F) = 28.69 states/eV per cell
theoretical density = 6.72 g/cm3

a = 7.820 Å, b = 7.820 Å, c = 7.820 Å
α = 90.00°, β = 90.00°, γ = 90.00°
Space group F-43m (No. 216)
Inequivalent atoms, fractional coordinates:
Ce: 0.000 0.000 0.000 (multiplicity 4)
Nd: 0.000 0.000 0.500 (multiplicity 4)
Lu: 0.250 0.250 0.750 (multiplicity 4)
Mg: 0.250 0.250 0.250 (multiplicity 4)